(1)
CuSi2Tc | PBE | optimized geometry

Values from the calculation:
**Space group**: P4/mmm
**Energy above the most stable polymorph in this dataset**: 0.23 eV/f.u.
**Final energy**: -0.4815 Ry per atom
**Spin magnetization**: 0.0000 μB/atom
**Calculated volume**: 51.50 Å³ per cell
**Formation energy (no corrections)**: -0.90 eV/f.u.

Cell: 3.0963 3.0963 5.3718 Å, 90.00 90.00 90.00°
Positions (direct):
Cu  0.0000  0.0000  0.0000
Si  0.5000  0.5000  0.2453
Si  0.5000  0.5000  0.7547
Tc  0.0000  0.0000  0.5000

(2)
CuSi2Tc | PBE | optimized geometry

Values from the calculation:
**Space group**: P4/mmm
**Energy above the most stable polymorph in this dataset**: 0.82 eV/f.u.
**Final energy**: -0.4706 Ry per atom
**Spin magnetization**: 0.0000 μB/atom
**Calculated volume**: 51.56 Å³ per cell
**Formation energy (no corrections)**: -0.30 eV/f.u.

Cell: 4.0930 4.0930 3.0775 Å, 90.00 90.00 90.00°
Positions (direct):
Cu  0.0000  0.0000  0.0000
Si  0.0000  0.5000  0.5000
Si  0.5000  0.0000  0.5000
Tc  0.5000  0.5000  0.0000

(3)
CuSiTc | PBE | optimized geometry

Values from the calculation:
**Space group**: P-6m2
**Energy above the most stable polymorph in this dataset**: 0.00 eV/f.u.
**Final energy**: -0.4961 Ry per atom
**Spin magnetization**: 0.0000 μB/atom
**Calculated volume**: 38.50 Å³ per cell
**Formation energy (no corrections)**: -0.36 eV/f.u.

Cell: 4.0898 4.0898 2.6576 Å, 90.00 90.00 120.00°
Positions (direct):
Cu  0.0000  0.0000  0.0000
Si  0.6667  0.3333  0.0000
Tc  0.3333  0.6667  0.5000

(4)
CuSi2Tc | PBE | optimized geometry

Values from the calculation:
**Space group**: C2/m
**Energy above the most stable polymorph in this dataset**: 0.90 eV/f.u.
**Final energy**: -0.4692 Ry per atom
**Spin magnetization**: 0.0000 μB/atom
**Calculated volume**: 107.92 Å³ per cell
**Formation energy (no corrections)**: -0.23 eV/f.u.

Cell: 8.0830 2.9762 4.5809 Å, 90.00 101.66 90.00°
Positions (direct):
Cu  0.0000  0.0000  0.0000
Cu  0.5000  0.5000  0.0000
Si  0.2425  0.0000  0.7273
Si  0.2575  0.5000  0.2727
Si  0.7425  0.5000  0.7273
Si  0.7575  0.0000  0.2727
Tc  0.0000  0.5000  0.5000
Tc  0.5000  0.0000  0.5000

(5)
CuSi2Tc | PBE | optimized geometry

Values from the calculation:
**Space group**: P4mm
**Energy above the most stable polymorph in this dataset**: 2.10 eV/f.u.
**Final energy**: -0.4471 Ry per atom
**Spin magnetization**: 0.0877 μB/atom
**Calculated volume**: 54.45 Å³ per cell
**Formation energy (no corrections)**: 0.97 eV/f.u.

Cell: 2.6918 2.6918 7.5141 Å, 90.00 90.00 90.00°
Positions (direct):
Cu  0.0000  0.0000  0.0000
Si  0.0000  0.0000  0.5041
Si  0.5000  0.5000  0.2301
Tc  0.5000  0.5000  0.7396

(6)
CuSi2Tc | PBE | optimized geometry

Values from the calculation:
**Space group**: Cm
**Energy above the most stable polymorph in this dataset**: 0.19 eV/f.u.
**Final energy**: -0.4821 Ry per atom
**Spin magnetization**: 0.0000 μB/atom
**Calculated volume**: 104.92 Å³ per cell
**Formation energy (no corrections)**: -0.93 eV/f.u.

Cell: 8.5643 3.0939 4.1331 Å, 90.00 106.66 90.00°
Positions (direct):
Cu  0.0000  0.0000  0.0000
Cu  0.5000  0.5000  0.0000
Si  0.2464  0.5000  0.1412
Si  0.4981  0.0000  0.5109
Si  0.7464  0.0000  0.1412
Si  0.9981  0.5000  0.5109
Tc  0.2289  0.0000  0.6190
Tc  0.7289  0.5000  0.6190

(7)
CuSi2Tc | PBE | optimized geometry

Values from the calculation:
**Space group**: F-43m
**Energy above the most stable polymorph in this dataset**: 2.49 eV/f.u.
**Final energy**: -0.4399 Ry per atom
**Spin magnetization**: 0.0000 μB/atom
**Calculated volume**: 215.21 Å³ per cell
**Formation energy (no corrections)**: 1.37 eV/f.u.

Cell: 5.9927 5.9927 5.9927 Å, 90.00 90.00 90.00°
Positions (direct):
Cu  0.0000  0.0000  0.0000
Cu  0.0000  0.5000  0.5000
Cu  0.5000  0.0000  0.5000
Cu  0.5000  0.5000  0.0000
Si  0.0000  0.0000  0.5000
Si  0.0000  0.5000  0.0000
Si  0.2500  0.2500  0.7500
Si  0.2500  0.7500  0.2500
Si  0.5000  0.0000  0.0000
Si  0.5000  0.5000  0.5000
Si  0.7500  0.2500  0.2500
Si  0.7500  0.7500  0.7500
Tc  0.2500  0.2500  0.2500
Tc  0.2500  0.7500  0.7500
Tc  0.7500  0.2500  0.7500
Tc  0.7500  0.7500  0.2500

(8)
Cu3SiTc | PBE | optimized geometry

Values from the calculation:
**Space group**: Pm-3m
**Energy above the most stable polymorph in this dataset**: 3.46 eV/f.u.
**Final energy**: -0.2968 Ry per atom
**Spin magnetization**: 0.1900 μB/atom
**Calculated volume**: 98.48 Å³ per cell
**Formation energy (no corrections)**: 7.89 eV/f.u.

Cell: 4.6180 4.6180 4.6180 Å, 90.00 90.00 90.00°
Positions (direct):
Cu  0.0000  0.0000  0.5000
Cu  0.0000  0.5000  0.0000
Cu  0.5000  0.0000  0.0000
Si  0.5000  0.5000  0.5000
Tc  0.0000  0.0000  0.0000